Entry from the Alexandria database: a relaxed MnHgO3 crystal (PBE+U).

Cell lengths 4.099, 4.099, 4.099 Å; angles 90.00, 90.00, 90.00 degrees
Space group Pm-3m (No. 221)
Symmetry-distinct sites (fractional):
Mn 0.000 0.000 0.000
Hg 0.500 0.500 0.500
O 0.000 0.500 0.500

Calculated values
Its crystal system is cubic. The calculation puts the total energy at -22.0 eV/cell. The density of states at the Fermi level is 0.95 states/eV per cell. As for the spin magnetization: 5.00 μB/cell. The value obtained for the theoretical density is 7.3 g cm⁻³.